Record 1
## Li3Ac2InCu12 (GGA-PBE)

Data for a geometry-optimized Li3Ac2InCu12 structure.

Geometry as POSCAR:
```
Li3Ac2InCu12
1.0
3.163 1.826 9.372
-3.163 1.826 9.372
0.000 -3.653 9.372
Li Ac In Cu
3 2 1 12
Direct
0.000 0.500 0.500
0.500 0.000 0.500
0.500 0.500 0.000
0.138 0.138 0.138
0.862 0.862 0.862
0.500 0.500 0.500
0.036 0.624 0.624
0.087 0.087 0.705
0.087 0.705 0.087
0.295 0.913 0.913
0.376 0.376 0.964
0.376 0.964 0.376
0.624 0.036 0.624
0.624 0.624 0.036
0.705 0.087 0.087
0.913 0.295 0.913
0.913 0.913 0.295
0.964 0.376 0.376
```

* crystal system: trigonal
* DOS at the Fermi energy: 7.0 states/eV/f.u.
* total moment: 0.000 μB/atom
* VASP energy: -3.557 eV/atom

=====

Record 2
## Ca3MgIr (GGA-PBE)

Data for a geometry-optimized Ca3MgIr structure.

Geometry as POSCAR:
```
Ca3MgIr
1.0
5.518 0.000 0.000
0.000 5.518 0.000
0.000 0.000 5.518
Ca Mg Ir
3 1 1
Direct
0.000 0.000 0.500
0.000 0.500 0.000
0.500 0.000 0.000
0.500 0.500 0.500
0.000 0.000 0.000
```

* crystal system: cubic
* relative energy among the computed polymorphs: 68 meV per atom
* DOS at the Fermi energy: 2.0 states/eV/f.u.
* total moment: 0.000 μB/atom
* VASP energy: -3.420 eV/atom

=====

Record 3
## Dy2InRu (GGA-PBE)

Data for a geometry-optimized Dy2InRu structure.

Geometry as POSCAR:
```
Dy2InRu
1.0
3.455 0.000 0.000
0.000 3.455 0.000
0.000 0.000 7.825
Dy In Ru
2 1 1
Direct
0.000 0.000 0.211
0.000 0.000 0.789
0.500 0.500 0.500
0.500 0.500 0.000
```

* crystal system: tetragonal
* relative energy among the computed polymorphs: 0 meV per atom
* DOS at the Fermi energy: 3.0 states/eV/f.u.
* total moment: 0.000 μB/atom
* VASP energy: -5.767 eV/atom